# 1
The following is a DFT calculation (GGA-PBEsol) of TaSnHg3 after structural relaxation.

a = 5.257 Å, b = 5.257 Å, c = 5.257 Å
α = 90.00°, β = 90.00°, γ = 90.00°
Element x y z (fractional)
Ta (0.000, 0.000, 0.000)
Sn (0.500, 0.500, 0.500)
Hg (0.000, 0.000, 0.500)
Hg (0.000, 0.500, 0.000)
Hg (0.500, 0.000, 0.000)

Values from the calculation:
Energy of formation (eV/atom): 0.862
Space group: Pm-3m (221)


# 2
The following is a DFT calculation (GGA-PBEsol) of Ta3SnHg after structural relaxation.

a = 4.965 Å, b = 4.965 Å, c = 4.965 Å
α = 90.00°, β = 90.00°, γ = 90.00°
Element x y z (fractional)
Ta (0.000, 0.000, 0.500)
Ta (0.000, 0.500, 0.000)
Ta (0.500, 0.000, 0.000)
Sn (0.500, 0.500, 0.500)
Hg (0.000, 0.000, 0.000)

Values from the calculation:
Energy of formation (eV/atom): 1.962
Space group: Pm-3m (221)


- Among the records above, which one has the highest energy of formation?
  Ta3SnHg